# 1
## Ho2TcC2 (PBE)

Data for an optimized crystal structure of Ho2TcC2.

## Properties
DFT total energy = -7.943 eV/atom
Magnetization = 0.00 μB per formula unit

```
data_Ho2TcC2
_chemical_formula_sum 'Ho8 Tc4 C8'
_space_group_name_H-M_alt 'C 1 2/m 1'
_space_group_IT_number 12
_space_group_name_Hall '-C 2y'
_cell_length_a 11.073
_cell_length_b 5.069
_cell_length_c 6.630
_cell_angle_alpha 90.00
_cell_angle_beta 118.44
_cell_angle_gamma 90.00
loop_
_atom_site_label
_atom_site_type_symbol
_atom_site_fract_x
_atom_site_fract_y
_atom_site_fract_z
Ho1 Ho 0.030 0.000 0.275
Ho2 Ho 0.178 0.500 0.121
Tc1 Tc 0.138 0.500 0.629
C1 C 0.007 0.500 0.276
C2 C 0.180 0.000 0.109
```

---

# 2
## ReAsPt2 (PBE)

Data for an optimized crystal structure of ReAsPt2.

## Properties
DFT total energy = -7.048 eV/atom
Magnetization = 0.00 μB per formula unit

```
data_ReAsPt2
_chemical_formula_sum 'Re4 As4 Pt8'
_space_group_name_H-M_alt 'F -4 3 m'
_space_group_IT_number 216
_space_group_name_Hall 'F -4 2 3'
_cell_length_a 6.285
_cell_length_b 6.285
_cell_length_c 6.285
_cell_angle_alpha 90.00
_cell_angle_beta 90.00
_cell_angle_gamma 90.00
loop_
_atom_site_label
_atom_site_type_symbol
_atom_site_fract_x
_atom_site_fract_y
_atom_site_fract_z
Re1 Re 0.000 0.000 0.000
As1 As 0.250 0.250 0.750
Pt1 Pt 0.000 0.000 0.500
Pt2 Pt 0.250 0.250 0.250
```

---

# 3
## SmDyFe2Ni6B2 (PBE)

Data for an optimized crystal structure of SmDyFe2Ni6B2.

## Properties
DFT total energy = -6.419 eV/atom
Excess energy over the best structure of this formula in the dataset = 14 meV per atom
Magnetization = 5.14 μB per formula unit

```
data_SmDyFe2Ni6B2
_chemical_formula_sum 'Sm1 Dy1 Fe2 Ni6 B2'
_space_group_name_H-M_alt 'P 6/m m m'
_space_group_IT_number 191
_space_group_name_Hall '-P 6 2'
_cell_length_a 5.0418
_cell_length_b 5.0418
_cell_length_c 7.0191
_cell_angle_alpha 90.00
_cell_angle_beta 90.00
_cell_angle_gamma 120.00
loop_
_atom_site_label
_atom_site_type_symbol
_atom_site_fract_x
_atom_site_fract_y
_atom_site_fract_z
Sm1 Sm 0.0000 0.0000 0.0000
Dy1 Dy 0.0000 0.0000 0.5000
Fe1 Fe 0.3333 0.6667 0.5000
Ni1 Ni 0.0000 0.5000 0.2077
B1 B 0.3333 0.6667 0.0000
```

---

# 4
## GdCd (PBE)

Data for an optimized crystal structure of GdCd.

## Properties
DFT total energy = -2.880 eV/atom
Magnetization = 0.00 μB per formula unit

```
data_GdCd
_chemical_formula_sum 'Gd1 Cd1'
_space_group_name_H-M_alt 'P -6 m 2'
_space_group_IT_number 187
_space_group_name_Hall 'P -6 2'
_cell_length_a 3.4702
_cell_length_b 3.4702
_cell_length_c 5.2069
_cell_angle_alpha 90.00
_cell_angle_beta 90.00
_cell_angle_gamma 120.00
loop_
_atom_site_label
_atom_site_type_symbol
_atom_site_fract_x
_atom_site_fract_y
_atom_site_fract_z
Gd1 Gd 0.0000 0.0000 0.0000
Cd1 Cd 0.3333 0.6667 0.5000
```

---

# 5
## PmPrHf (PBE)

Data for an optimized crystal structure of PmPrHf.

## Properties
DFT total energy = -5.662 eV/atom
Excess energy over the best structure of this formula in the dataset = 0 meV per atom
Magnetization = 1.52 μB per formula unit

```
data_PmPrHf
_chemical_formula_sum 'Pm4 Pr4 Hf4'
_space_group_name_H-M_alt 'F -4 3 m'
_space_group_IT_number 216
_space_group_name_Hall 'F -4 2 3'
_cell_length_a 7.472
_cell_length_b 7.472
_cell_length_c 7.472
_cell_angle_alpha 90.00
_cell_angle_beta 90.00
_cell_angle_gamma 90.00
loop_
_atom_site_label
_atom_site_type_symbol
_atom_site_fract_x
_atom_site_fract_y
_atom_site_fract_z
Pm1 Pm 0.000 0.000 0.000
Pr1 Pr 0.000 0.000 0.500
Hf1 Hf 0.250 0.250 0.250
```

---

# 6
## Al3Tc2Ge (PBE)

Data for an optimized crystal structure of Al3Tc2Ge.

## Properties
DFT total energy = -6.518 eV/atom
Magnetization = 0.35 μB per formula unit

```
data_Al3Tc2Ge
_chemical_formula_sum 'Al3 Tc2 Ge1'
_space_group_name_H-M_alt 'P 4 m m'
_space_group_IT_number 99
_space_group_name_Hall 'P 4 -2'
_cell_length_a 3.225
_cell_length_b 3.225
_cell_length_c 8.353
_cell_angle_alpha 90.00
_cell_angle_beta 90.00
_cell_angle_gamma 90.00
loop_
_atom_site_label
_atom_site_type_symbol
_atom_site_fract_x
_atom_site_fract_y
_atom_site_fract_z
Al1 Al 0.000 0.000 0.000
Al2 Al 0.000 0.000 0.316
Al3 Al 0.500 0.500 0.821
Tc1 Tc 0.000 0.000 0.650
Tc2 Tc 0.500 0.500 0.160
Ge1 Ge 0.500 0.500 0.494
```

---

# 7
## Pa4C3O (PBE)

Data for an optimized crystal structure of Pa4C3O.

## Properties
DFT total energy = -8.870 eV/atom
Magnetization = 0.01 μB per formula unit

```
data_Pa4C3O
_chemical_formula_sum 'Pa4 C3 O1'
_space_group_name_H-M_alt 'P m -3 m'
_space_group_IT_number 221
_space_group_name_Hall '-P 4 2 3'
_cell_length_a 5.069
_cell_length_b 5.069
_cell_length_c 5.069
_cell_angle_alpha 90.00
_cell_angle_beta 90.00
_cell_angle_gamma 90.00
loop_
_atom_site_label
_atom_site_type_symbol
_atom_site_fract_x
_atom_site_fract_y
_atom_site_fract_z
Pa1 Pa 0.000 0.000 0.000
Pa2 Pa 0.000 0.500 0.500
C1 C 0.000 0.000 0.500
O1 O 0.500 0.500 0.500
```

---

# 8
## CdIrAu2 (PBE)

Data for an optimized crystal structure of CdIrAu2.

## Properties
DFT total energy = -3.849 eV/atom
Magnetization = 0.01 μB per formula unit

```
data_CdIrAu2
_chemical_formula_sum 'Cd4 Ir4 Au8'
_space_group_name_H-M_alt 'F -4 3 m'
_space_group_IT_number 216
_space_group_name_Hall 'F -4 2 3'
_cell_length_a 6.550
_cell_length_b 6.550
_cell_length_c 6.550
_cell_angle_alpha 90.00
_cell_angle_beta 90.00
_cell_angle_gamma 90.00
loop_
_atom_site_label
_atom_site_type_symbol
_atom_site_fract_x
_atom_site_fract_y
_atom_site_fract_z
Cd1 Cd 0.000 0.000 0.000
Ir1 Ir 0.250 0.250 0.250
Au1 Au 0.000 0.000 0.500
Au2 Au 0.250 0.250 0.750
```